Entry from Alexandria: a relaxed structure of Pr2PaAg (PBE-GGA).

Cell lengths 3.410, 5.696, 5.696 Å; angles 90.00, 90.00, 90.00 degrees
Atoms (fractional coordinates):
Pr1 0.000 0.000 0.500
Pr2 0.000 0.500 0.000
Pa1 0.500 0.500 0.500
Ag1 0.500 0.000 0.000

Results
Symmetry: P4/mmm
ΔH_f (0 K) (eV per atom): 0.14
Electronic total energy (eV per atom): -5.34